{"formula": "Ho3ThP4", "functional": "PBE-GGA", "state": "relaxed", "cell": [[-0.359, -2.712, -2.968], [5.645, -3.340, 2.367], [-1.932, -4.829, 4.645]], "species": ["P", "P", "Ho", "Th", "Ho", "P", "Ho", "P"], "fractional_positions": [[0.500, 0.248, 0.748], [0.000, 0.244, 0.256], [0.500, 0.000, 0.500], [0.500, 0.500, 0.000], [0.000, 0.500, 0.500], [0.500, 0.752, 0.252], [0.000, 0.000, 0.000], [0.000, 0.756, 0.744]], "space_group": "Cmmm", "delta_e_f_kcal_per_mol_atoms": -37.16, "crystal_system": "orthorhombic", "dft_energy_ev_per_atom": -6.960, "dos_at_fermi_per_ev_fu": 1.46}